1.
KCrPb2Au at its PBEsol-relaxed geometry. Source: Alexandria via LeMat-Bulk, functional meta-GGA SCAN.

Computed properties:
Mass density   6.96 g/cm³
Magnetization   4.9 μB per formula unit
Energy of formation from the pure elements   458 meV/atom
D(E_F)   3.09 states/eV/f.u.

Cell and atoms, written as CIF:
```
data_KCrPb2Au
_chemical_formula_sum 'K1 Cr1 Pb2 Au1'
_cell_length_a 5.415
_cell_length_b 5.415
_cell_length_c 5.714
_cell_angle_alpha 90.00
_cell_angle_beta 90.00
_cell_angle_gamma 90.00
_space_group_name_H-M_alt 'P 4/m m m'
_space_group_IT_number 123
_space_group_name_Hall '-P 4 2'
loop_
_atom_site_label
_atom_site_type_symbol
_atom_site_fract_x
_atom_site_fract_y
_atom_site_fract_z
K1 K 0.000 0.000 0.000
Cr1 Cr 0.500 0.500 0.000
Pb1 Pb 0.000 0.500 0.500
Au1 Au 0.000 0.000 0.500
```

---

2.
LiAl2H6BrO6 at its PBEsol-relaxed geometry. Source: Alexandria via LeMat-Bulk, functional meta-GGA SCAN.

Computed properties:
Mass density   2.44 g/cm³
Magnetization   0.0 μB per formula unit
D(E_F)   0.00 states/eV/f.u.

Cell and atoms, written as CIF:
```
data_LiAl2H6BrO6
_chemical_formula_sum 'Li2 Al4 H12 Br2 O12'
_cell_length_a 5.1050
_cell_length_b 5.1050
_cell_length_c 14.6394
_cell_angle_alpha 90.00
_cell_angle_beta 90.00
_cell_angle_gamma 120.00
_space_group_name_H-M_alt 'P 63/m c m'
_space_group_IT_number 193
_space_group_name_Hall '-P 6c 2'
loop_
_atom_site_label
_atom_site_type_symbol
_atom_site_fract_x
_atom_site_fract_y
_atom_site_fract_z
Li1 Li 0.0000 0.0000 0.0000
Al1 Al 0.3333 0.6667 0.0000
H1 H 0.0000 0.3130 0.1310
Br1 Br 0.0000 0.0000 0.2500
O1 O 0.0000 0.3665 0.0664
```

---

3.
Be4CrRe at its PBEsol-relaxed geometry. Source: Alexandria via LeMat-Bulk, functional meta-GGA SCAN.

Computed properties:
Mass density   8.36 g/cm³
Magnetization   0.0 μB per formula unit
Energy of formation from the pure elements   -354 meV/atom
D(E_F)   1.46 states/eV/f.u.

Cell and atoms, written as CIF:
```
data_Be4CrRe
_chemical_formula_sum 'Be16 Cr4 Re4'
_cell_length_a 6.018
_cell_length_b 6.018
_cell_length_c 6.018
_cell_angle_alpha 90.00
_cell_angle_beta 90.00
_cell_angle_gamma 90.00
_space_group_name_H-M_alt 'F -4 3 m'
_space_group_IT_number 216
_space_group_name_Hall 'F -4 2 3'
loop_
_atom_site_label
_atom_site_type_symbol
_atom_site_fract_x
_atom_site_fract_y
_atom_site_fract_z
Be1 Be 0.125 0.125 0.125
Cr1 Cr 0.000 0.000 0.500
Re1 Re 0.250 0.250 0.750
```

---

4.
BaSrSc3 at its PBEsol-relaxed geometry. Source: Alexandria via LeMat-Bulk, functional meta-GGA SCAN.

Computed properties:
Mass density   3.66 g/cm³
Magnetization   0.0 μB per formula unit
Energy of formation from the pure elements   889 meV/atom
D(E_F)   5.05 states/eV/f.u.

Cell and atoms, written as CIF:
```
data_BaSrSc3
_chemical_formula_sum 'Ba1 Sr1 Sc3'
_cell_length_a 5.468
_cell_length_b 5.468
_cell_length_c 5.468
_cell_angle_alpha 90.00
_cell_angle_beta 90.00
_cell_angle_gamma 90.00
_space_group_name_H-M_alt 'P m -3 m'
_space_group_IT_number 221
_space_group_name_Hall '-P 4 2 3'
loop_
_atom_site_label
_atom_site_type_symbol
_atom_site_fract_x
_atom_site_fract_y
_atom_site_fract_z
Ba1 Ba 0.000 0.000 0.000
Sr1 Sr 0.500 0.500 0.500
Sc1 Sc 0.000 0.000 0.500
```

---

5.
Fe3HW at its PBEsol-relaxed geometry. Source: Alexandria via LeMat-Bulk, functional meta-GGA SCAN.

Computed properties:
Mass density   12.60 g/cm³
Magnetization   0.9 μB per formula unit
D(E_F)   2.81 states/eV/f.u.

Cell and atoms, written as CIF:
```
data_Fe3HW
_chemical_formula_sum 'Fe3 H1 W1'
_cell_length_a 3.594
_cell_length_b 3.594
_cell_length_c 3.594
_cell_angle_alpha 90.00
_cell_angle_beta 90.00
_cell_angle_gamma 90.00
_space_group_name_H-M_alt 'P m -3 m'
_space_group_IT_number 221
_space_group_name_Hall '-P 4 2 3'
loop_
_atom_site_label
_atom_site_type_symbol
_atom_site_fract_x
_atom_site_fract_y
_atom_site_fract_z
Fe1 Fe 0.000 0.000 0.500
H1 H 0.000 0.000 0.000
W1 W 0.500 0.500 0.500
```

---

6.
KTlP2 at its PBEsol-relaxed geometry. Source: Alexandria via LeMat-Bulk, functional meta-GGA SCAN.

Computed properties:
Relative energy among the computed polymorphs   566.6 meV/atom
Mass density   5.69 g/cm³
Magnetization   0.0 μB per formula unit
Energy of formation from the pure elements   537 meV/atom
D(E_F)   2.64 states/eV/f.u.

Cell and atoms, written as CIF:
```
data_KTlP2
_chemical_formula_sum 'K4 Tl4 P8'
_cell_length_a 7.091
_cell_length_b 7.091
_cell_length_c 7.091
_cell_angle_alpha 90.00
_cell_angle_beta 90.00
_cell_angle_gamma 90.00
_space_group_name_H-M_alt 'F m -3 m'
_space_group_IT_number 225
_space_group_name_Hall '-F 4 2 3'
loop_
_atom_site_label
_atom_site_type_symbol
_atom_site_fract_x
_atom_site_fract_y
_atom_site_fract_z
K1 K 0.000 0.000 0.000
Tl1 Tl 0.000 0.000 0.500
P1 P 0.250 0.250 0.250
```

---

7.
RbTl2Bi2 at its PBEsol-relaxed geometry. Source: Alexandria via LeMat-Bulk, functional meta-GGA SCAN.

Computed properties:
Relative energy among the computed polymorphs   0.0 meV/atom
Mass density   8.21 g/cm³
Magnetization   0.0 μB per formula unit
Energy of formation from the pure elements   -239 meV/atom
D(E_F)   2.25 states/eV/f.u.

Cell and atoms, written as CIF:
```
data_RbTl2Bi2
_chemical_formula_sum 'Rb2 Tl4 Bi4'
_cell_length_a 5.255
_cell_length_b 5.255
_cell_length_c 13.366
_cell_angle_alpha 90.00
_cell_angle_beta 90.00
_cell_angle_gamma 90.00
_space_group_name_H-M_alt 'I 4/m m m'
_space_group_IT_number 139
_space_group_name_Hall '-I 4 2'
loop_
_atom_site_label
_atom_site_type_symbol
_atom_site_fract_x
_atom_site_fract_y
_atom_site_fract_z
Rb1 Rb 0.000 0.000 0.000
Tl1 Tl 0.000 0.500 0.250
Bi1 Bi 0.000 0.000 0.381
```

---

8.
IrRu2W at its PBEsol-relaxed geometry. Source: Alexandria via LeMat-Bulk, functional meta-GGA SCAN.

Computed properties:
Relative energy among the computed polymorphs   13.6 meV/atom
Mass density   17.13 g/cm³
Magnetization   0.0 μB per formula unit
Energy of formation from the pure elements   -203 meV/atom
D(E_F)   2.28 states/eV/f.u.

Cell and atoms, written as CIF:
```
data_IrRu2W
_chemical_formula_sum 'Ir1 Ru2 W1'
_cell_length_a 2.738
_cell_length_b 4.350
_cell_length_c 4.706
_cell_angle_alpha 90.00
_cell_angle_beta 90.00
_cell_angle_gamma 90.00
_space_group_name_H-M_alt 'P m m 2'
_space_group_IT_number 25
_space_group_name_Hall 'P 2 -2'
loop_
_atom_site_label
_atom_site_type_symbol
_atom_site_fract_x
_atom_site_fract_y
_atom_site_fract_z
Ir1 Ir 0.000 0.000 0.000
Ru1 Ru 0.000 0.500 0.659
Ru2 Ru 0.500 0.000 0.507
W1 W 0.500 0.500 0.174
```

---

9.
AsIrRh3 at its PBEsol-relaxed geometry. Source: Alexandria via LeMat-Bulk, functional meta-GGA SCAN.

Computed properties:
Mass density   11.24 g/cm³
Magnetization   2.1 μB per formula unit
Energy of formation from the pure elements   967 meV/atom
D(E_F)   4.28 states/eV/f.u.

Cell and atoms, written as CIF:
```
data_AsIrRh3
_chemical_formula_sum 'As1 Ir1 Rh3'
_cell_length_a 4.399
_cell_length_b 4.399
_cell_length_c 4.399
_cell_angle_alpha 90.00
_cell_angle_beta 90.00
_cell_angle_gamma 90.00
_space_group_name_H-M_alt 'P m -3 m'
_space_group_IT_number 221
_space_group_name_Hall '-P 4 2 3'
loop_
_atom_site_label
_atom_site_type_symbol
_atom_site_fract_x
_atom_site_fract_y
_atom_site_fract_z
As1 As 0.000 0.000 0.000
Ir1 Ir 0.500 0.500 0.500
Rh1 Rh 0.000 0.000 0.500
```

---

10.
BiW3I at its PBEsol-relaxed geometry. Source: Alexandria via LeMat-Bulk, functional meta-GGA SCAN.

Computed properties:
Formation energy without anion corrections   2924 meV per atom
Mass density   12.62 g/cm³
Magnetization   0.0 μB per formula unit
D(E_F)   4.34 states/eV/f.u.

Cell and atoms, written as CIF:
```
data_BiW3I
_chemical_formula_sum 'Bi1 W3 I1'
_cell_length_a 4.887
_cell_length_b 4.887
_cell_length_c 4.887
_cell_angle_alpha 90.00
_cell_angle_beta 90.00
_cell_angle_gamma 90.00
_space_group_name_H-M_alt 'P m -3 m'
_space_group_IT_number 221
_space_group_name_Hall '-P 4 2 3'
loop_
_atom_site_label
_atom_site_type_symbol
_atom_site_fract_x
_atom_site_fract_y
_atom_site_fract_z
Bi1 Bi 0.000 0.000 0.000
W1 W 0.000 0.500 0.500
I1 I 0.500 0.500 0.500
```

---

11.
LiLaAu at its PBEsol-relaxed geometry. Source: Alexandria via LeMat-Bulk, functional meta-GGA SCAN.

Computed properties:
Relative energy among the computed polymorphs   0.0 meV/atom
Mass density   8.39 g/cm³
Magnetization   0.0 μB per formula unit
Energy of formation from the pure elements   -707 meV/atom
D(E_F)   1.70 states/eV/f.u.

Cell and atoms, written as CIF:
```
data_LiLaAu
_chemical_formula_sum 'Li1 La1 Au1'
_cell_length_a 4.5333
_cell_length_b 4.5333
_cell_length_c 3.8126
_cell_angle_alpha 90.00
_cell_angle_beta 90.00
_cell_angle_gamma 120.00
_space_group_name_H-M_alt 'P -6 m 2'
_space_group_IT_number 187
_space_group_name_Hall 'P -6 2'
loop_
_atom_site_label
_atom_site_type_symbol
_atom_site_fract_x
_atom_site_fract_y
_atom_site_fract_z
Li1 Li 0.0000 0.0000 0.0000
La1 La 0.6667 0.3333 0.5000
Au1 Au 0.3333 0.6667 0.0000
```

---

12.
InW2Br at its PBEsol-relaxed geometry. Source: Alexandria via LeMat-Bulk, functional meta-GGA SCAN.

Computed properties:
Formation energy without anion corrections   1150 meV per atom
Relative energy among the computed polymorphs   632.0 meV/atom
Mass density   13.28 g/cm³
Magnetization   0.0 μB per formula unit
D(E_F)   2.86 states/eV/f.u.

Cell and atoms, written as CIF:
```
data_InW2Br
_chemical_formula_sum 'In2 W4 Br2'
_cell_length_a 9.626
_cell_length_b 2.954
_cell_length_c 5.080
_cell_angle_alpha 90.00
_cell_angle_beta 103.21
_cell_angle_gamma 90.00
_space_group_name_H-M_alt 'C 1 2/m 1'
_space_group_IT_number 12
_space_group_name_Hall '-C 2y'
loop_
_atom_site_label
_atom_site_type_symbol
_atom_site_fract_x
_atom_site_fract_y
_atom_site_fract_z
In1 In 0.000 0.000 0.000
W1 W 0.250 0.000 0.752
Br1 Br 0.000 0.500 0.500
```

---

13.
ScMoRu at its PBEsol-relaxed geometry. Source: Alexandria via LeMat-Bulk, functional meta-GGA SCAN.

Computed properties:
Relative energy among the computed polymorphs   1331.0 meV/atom
Mass density   7.38 g/cm³
Magnetization   2.1 μB per formula unit
Energy of formation from the pure elements   1123 meV/atom
D(E_F)   2.65 states/eV/f.u.

Cell and atoms, written as CIF:
```
data_ScMoRu
_chemical_formula_sum 'Sc4 Mo4 Ru4'
_cell_length_a 6.016
_cell_length_b 6.016
_cell_length_c 6.016
_cell_angle_alpha 90.00
_cell_angle_beta 90.00
_cell_angle_gamma 90.00
_space_group_name_H-M_alt 'F -4 3 m'
_space_group_IT_number 216
_space_group_name_Hall 'F -4 2 3'
loop_
_atom_site_label
_atom_site_type_symbol
_atom_site_fract_x
_atom_site_fract_y
_atom_site_fract_z
Sc1 Sc 0.000 0.000 0.000
Mo1 Mo 0.250 0.250 0.750
Ru1 Ru 0.250 0.250 0.250
```

---

| no. | total DFT energy (no corrections) (eV/f.u.) |
| --- | --- |
| 1 | -245.1 |
| 2 | -126.1 |
| 3 | -109.0 |
| 4 | -100.1 |
| 5 | -126.5 |
| 6 | -99.3 |
| 7 | -323.8 |
| 8 | -211.3 |
| 9 | -187.8 |
| 10 | -309.8 |
| 11 | -116.8 |
| 12 | -187.6 |
| 13 | -80.6 |